DFT (PBE+U) results for a relaxed FeF crystal.

Cell and atoms, written as POSCAR:
```
FeF
1.0
7.5172 0.0000 0.0000
0.0000 9.4248 0.0000
0.0000 0.0000 6.5297
F Fe
16 16
direct
0.2500 0.8916 0.7500 F
0.5000 0.3584 0.5000 F
0.5000 0.1416 0.0000 F
0.0000 0.1416 0.5000 F
0.5000 0.8584 0.0000 F
0.0000 0.8584 0.5000 F
0.0000 0.3584 0.0000 F
0.7500 0.8916 0.2500 F
0.5000 0.6416 0.5000 F
0.7500 0.3916 0.7500 F
0.0000 0.6416 0.0000 F
0.2500 0.3916 0.2500 F
0.7500 0.6084 0.2500 F
0.7500 0.1084 0.7500 F
0.2500 0.1084 0.2500 F
0.2500 0.6084 0.7500 F
0.2500 0.2500 0.9630 Fe
0.7500 0.7500 0.9630 Fe
0.7500 0.2500 0.0370 Fe
0.2500 0.7500 0.0370 Fe
0.7500 0.7500 0.5370 Fe
0.5000 0.5000 0.2130 Fe
0.0000 0.5000 0.2870 Fe
0.0000 0.0000 0.7870 Fe
0.2500 0.7500 0.4630 Fe
0.0000 0.0000 0.2130 Fe
0.5000 0.5000 0.7870 Fe
0.5000 0.0000 0.7130 Fe
0.5000 0.0000 0.2870 Fe
0.0000 0.5000 0.7130 Fe
0.2500 0.2500 0.5370 Fe
0.7500 0.2500 0.4630 Fe
```

Total moment ... 63.39 μB per cell
Electronic total energy ... -4.99 eV per atom
Offset from the most stable computed form ... 104.5 meV/atom